# MnBePCl2 (GGA-PBE, relaxed)
# Raw formation energy in eV/atom: 0.07
data_MnBePCl2
_chemical_formula_sum 'Mn1 Be1 P1 Cl2'
_cell_length_a 4.118
_cell_length_b 4.118
_cell_length_c 5.674
_cell_angle_alpha 90.00
_cell_angle_beta 90.00
_cell_angle_gamma 90.00
_symmetry_space_group_name_H-M 'P 4/m m m'
_symmetry_Int_Tables_number 123
_symmetry_space_group_name_Hall '-P 4 2'
loop_
_atom_site_label
_atom_site_type_symbol
_atom_site_fract_x
_atom_site_fract_y
_atom_site_fract_z
Mn1 Mn 0.000 0.000 0.000
Be1 Be 0.500 0.500 0.500
P1 P 0.500 0.500 0.000
Cl1 Cl 0.000 0.500 0.500

---

# NdRe3Si2 (GGA-PBE, relaxed)
# Raw formation energy in eV/atom: 0.01
data_NdRe3Si2
_chemical_formula_sum 'Nd4 Re12 Si8'
_cell_length_a 15.018
_cell_length_b 4.076
_cell_length_c 8.162
_cell_angle_alpha 90.00
_cell_angle_beta 122.92
_cell_angle_gamma 90.00
_symmetry_space_group_name_H-M 'C 1 2/m 1'
_symmetry_Int_Tables_number 12
_symmetry_space_group_name_Hall '-C 2y'
loop_
_atom_site_label
_atom_site_type_symbol
_atom_site_fract_x
_atom_site_fract_y
_atom_site_fract_z
Nd1 Nd 0.123 0.000 0.123
Re1 Re 0.000 0.000 0.355
Re2 Re 0.191 0.500 0.487
Re3 Re 0.191 0.500 0.895
Si1 Si 0.000 0.500 0.206
Si2 Si 0.184 0.000 0.685

---

# K2HgTe (GGA-PBE, relaxed)
# Raw formation energy in eV/atom: -0.77
data_K2HgTe
_chemical_formula_sum 'K8 Hg4 Te4'
_cell_length_a 8.362
_cell_length_b 8.362
_cell_length_c 8.362
_cell_angle_alpha 90.00
_cell_angle_beta 90.00
_cell_angle_gamma 90.00
_symmetry_space_group_name_H-M 'F m -3 m'
_symmetry_Int_Tables_number 225
_symmetry_space_group_name_Hall '-F 4 2 3'
loop_
_atom_site_label
_atom_site_type_symbol
_atom_site_fract_x
_atom_site_fract_y
_atom_site_fract_z
K1 K 0.250 0.250 0.250
Hg1 Hg 0.000 0.000 0.000
Te1 Te 0.000 0.000 0.500

---

# Ac3Se3S (GGA-PBE, relaxed)
# Raw formation energy in eV/atom: -1.78
data_Ac3Se3S
_chemical_formula_sum 'Ac12 Se12 S4'
_cell_length_a 9.135
_cell_length_b 13.047
_cell_length_c 8.004
_cell_angle_alpha 90.00
_cell_angle_beta 90.35
_cell_angle_gamma 90.00
_symmetry_space_group_name_H-M 'C 1 2/m 1'
_symmetry_Int_Tables_number 12
_symmetry_space_group_name_Hall '-C 2y'
loop_
_atom_site_label
_atom_site_type_symbol
_atom_site_fract_x
_atom_site_fract_y
_atom_site_fract_z
Ac1 Ac 0.071 0.000 0.279
Ac2 Ac 0.135 0.345 0.208
Se1 Se 0.000 0.162 0.000
Se2 Se 0.000 0.219 0.500
Se3 Se 0.130 0.500 0.869
S1 S 0.236 0.000 0.594

---

# ZnHS2Cl (GGA-PBE, relaxed)
# E_tot in eV per atom: -2.6153
data_ZnHS2Cl
_chemical_formula_sum 'Zn1 H1 S2 Cl1'
_cell_length_a 3.645
_cell_length_b 3.645
_cell_length_c 6.543
_cell_angle_alpha 90.00
_cell_angle_beta 90.00
_cell_angle_gamma 90.00
_symmetry_space_group_name_H-M 'P 4/m m m'
_symmetry_Int_Tables_number 123
_symmetry_space_group_name_Hall '-P 4 2'
loop_
_atom_site_label
_atom_site_type_symbol
_atom_site_fract_x
_atom_site_fract_y
_atom_site_fract_z
Zn1 Zn 0.000 0.000 0.000
H1 H 0.500 0.500 0.500
S1 S 0.000 0.500 0.500
Cl1 Cl 0.500 0.500 0.000

---

# NiAgPb (GGA-PBE, relaxed)
# ΔE_f in eV per formula unit: 0.78
data_NiAgPb
_chemical_formula_sum 'Ni2 Ag2 Pb2'
_cell_length_a 3.308
_cell_length_b 3.308
_cell_length_c 10.355
_cell_angle_alpha 90.00
_cell_angle_beta 90.00
_cell_angle_gamma 90.00
_symmetry_space_group_name_H-M 'I 4 m m'
_symmetry_Int_Tables_number 107
_symmetry_space_group_name_Hall 'I 4 -2'
loop_
_atom_site_label
_atom_site_type_symbol
_atom_site_fract_x
_atom_site_fract_y
_atom_site_fract_z
Ni1 Ni 0.000 0.000 0.000
Ag1 Ag 0.000 0.000 0.358
Pb1 Pb 0.000 0.000 0.651

---

# Tb2ErN3 (GGA-PBE, relaxed)
# Raw formation energy in eV/atom: -1.70
data_Tb2ErN3
_chemical_formula_sum 'Tb8 Er4 N12'
_cell_length_a 6.018
_cell_length_b 10.424
_cell_length_c 6.018
_cell_angle_alpha 90.00
_cell_angle_beta 109.46
_cell_angle_gamma 90.00
_symmetry_space_group_name_H-M 'C 1 2/m 1'
_symmetry_Int_Tables_number 12
_symmetry_space_group_name_Hall '-C 2y'
loop_
_atom_site_label
_atom_site_type_symbol
_atom_site_fract_x
_atom_site_fract_y
_atom_site_fract_z
Tb1 Tb 0.000 0.000 0.000
Tb2 Tb 0.000 0.167 0.500
Tb3 Tb 0.000 0.500 0.500
Er1 Er 0.000 0.333 0.000
N1 N 0.246 0.500 0.247
N2 N 0.250 0.168 0.247

---

# Sm5In2Sn (GGA-PBE, relaxed)
# ΔE_f in eV per formula unit: -3.73
data_Sm5In2Sn
_chemical_formula_sum 'Sm20 In8 Sn4'
_cell_length_a 8.560
_cell_length_b 8.560
_cell_length_c 13.198
_cell_angle_alpha 90.00
_cell_angle_beta 90.00
_cell_angle_gamma 90.00
_symmetry_space_group_name_H-M 'I 4/m c m'
_symmetry_Int_Tables_number 140
_symmetry_space_group_name_Hall '-I 4 2c'
loop_
_atom_site_label
_atom_site_type_symbol
_atom_site_fract_x
_atom_site_fract_y
_atom_site_fract_z
Sm1 Sm 0.000 0.000 0.000
Sm2 Sm 0.161 0.339 0.152
In1 In 0.136 0.364 0.500
Sn1 Sn 0.000 0.000 0.250

---

# Li2PtBr (GGA-PBE, relaxed)
# Raw formation energy in eV/atom: -0.36
data_Li2PtBr
_chemical_formula_sum 'Li8 Pt4 Br4'
_cell_length_a 6.427
_cell_length_b 6.427
_cell_length_c 6.427
_cell_angle_alpha 90.00
_cell_angle_beta 90.00
_cell_angle_gamma 90.00
_symmetry_space_group_name_H-M 'F m -3 m'
_symmetry_Int_Tables_number 225
_symmetry_space_group_name_Hall '-F 4 2 3'
loop_
_atom_site_label
_atom_site_type_symbol
_atom_site_fract_x
_atom_site_fract_y
_atom_site_fract_z
Li1 Li 0.250 0.250 0.250
Pt1 Pt 0.000 0.000 0.000
Br1 Br 0.000 0.000 0.500

---

# Pr2Dy5In (GGA-PBE, relaxed)
# ΔE_f in eV per formula unit: -0.80
data_Pr2Dy5In
_chemical_formula_sum 'Pr4 Dy10 In2'
_cell_length_a 4.934
_cell_length_b 4.934
_cell_length_c 20.484
_cell_angle_alpha 90.00
_cell_angle_beta 90.00
_cell_angle_gamma 90.00
_symmetry_space_group_name_H-M 'I 4/m m m'
_symmetry_Int_Tables_number 139
_symmetry_space_group_name_Hall '-I 4 2'
loop_
_atom_site_label
_atom_site_type_symbol
_atom_site_fract_x
_atom_site_fract_y
_atom_site_fract_z
Pr1 Pr 0.000 0.000 0.244
Dy1 Dy 0.000 0.000 0.000
Dy2 Dy 0.000 0.500 0.118
In1 In 0.000 0.000 0.500

---

# Ta2CdOsPb (GGA-PBE, relaxed)
# ΔE_f in eV per formula unit: 4.90
data_Ta2CdOsPb
_chemical_formula_sum 'Ta2 Cd1 Os1 Pb1'
_cell_length_a 4.884
_cell_length_b 4.884
_cell_length_c 5.219
_cell_angle_alpha 90.00
_cell_angle_beta 90.00
_cell_angle_gamma 90.00
_symmetry_space_group_name_H-M 'P 4/m m m'
_symmetry_Int_Tables_number 123
_symmetry_space_group_name_Hall '-P 4 2'
loop_
_atom_site_label
_atom_site_type_symbol
_atom_site_fract_x
_atom_site_fract_y
_atom_site_fract_z
Ta1 Ta 0.000 0.500 0.000
Cd1 Cd 0.000 0.000 0.500
Os1 Os 0.000 0.000 0.000
Pb1 Pb 0.500 0.500 0.500

---

# BeZnRu2 (GGA-PBE, relaxed)
# ΔE_f in eV per formula unit: 0.96
data_BeZnRu2
_chemical_formula_sum 'Be2 Zn2 Ru4'
_cell_length_a 2.797
_cell_length_b 4.497
_cell_length_c 8.348
_cell_angle_alpha 90.00
_cell_angle_beta 90.00
_cell_angle_gamma 90.00
_symmetry_space_group_name_H-M 'C m m 2'
_symmetry_Int_Tables_number 35
_symmetry_space_group_name_Hall 'C 2 -2'
loop_
_atom_site_label
_atom_site_type_symbol
_atom_site_fract_x
_atom_site_fract_y
_atom_site_fract_z
Be1 Be 0.000 0.000 0.000
Zn1 Zn 0.000 0.500 0.759
Ru1 Ru 0.000 0.000 0.490
Ru2 Ru 0.000 0.500 0.219

---

# AcTh4As5 (GGA-PBE, relaxed)
# ΔE_f in eV per formula unit: -14.04
data_AcTh4As5
_chemical_formula_sum 'Ac2 Th8 As10'
_cell_length_a 14.306
_cell_length_b 4.296
_cell_length_c 10.548
_cell_angle_alpha 90.00
_cell_angle_beta 119.58
_cell_angle_gamma 90.00
_symmetry_space_group_name_H-M 'C 1 2/m 1'
_symmetry_Int_Tables_number 12
_symmetry_space_group_name_Hall '-C 2y'
loop_
_atom_site_label
_atom_site_type_symbol
_atom_site_fract_x
_atom_site_fract_y
_atom_site_fract_z
Ac1 Ac 0.000 0.000 0.000
Th1 Th 0.097 0.500 0.399
Th2 Th 0.202 0.000 0.795
As1 As 0.000 0.000 0.500
As2 As 0.108 0.500 0.896
As3 As 0.203 0.000 0.310

---

# AcNdBi (GGA-PBE, relaxed)
# ΔE_f in eV per formula unit: -1.96
data_AcNdBi
_chemical_formula_sum 'Ac2 Nd2 Bi2'
_cell_length_a 4.844
_cell_length_b 4.844
_cell_length_c 9.353
_cell_angle_alpha 90.00
_cell_angle_beta 90.00
_cell_angle_gamma 90.00
_symmetry_space_group_name_H-M 'P 4/n m m'
_symmetry_Int_Tables_number 129
loop_
_symmetry_equiv_pos_as_xyz
'x,y,z'
'-x,-y,-z'
'-y+1/2,x,z'
'y+1/2,-x,-z'
'-x+1/2,-y+1/2,z'
'x+1/2,y+1/2,-z'
'y,-x+1/2,z'
'-y,x+1/2,-z'
'x+1/2,-y,-z'
'-x+1/2,y,z'
'-y,-x,-z'
'y,x,z'
'-x,y+1/2,-z'
'x,-y+1/2,z'
'y+1/2,x+1/2,-z'
'-y+1/2,-x+1/2,z'
loop_
_atom_site_label
_atom_site_type_symbol
_atom_site_fract_x
_atom_site_fract_y
_atom_site_fract_z
Ac1 Ac 0.250 0.250 0.149
Nd1 Nd 0.250 0.750 0.500
Bi1 Bi 0.250 0.250 0.767

---

# Na3YEr2Se6 (GGA-PBE, relaxed)
# Raw formation energy in eV/atom: -1.71
data_Na3YEr2Se6
_chemical_formula_sum 'Na6 Y2 Er4 Se12'
_cell_length_a 7.144
_cell_length_b 12.374
_cell_length_c 7.399
_cell_angle_alpha 90.00
_cell_angle_beta 108.78
_cell_angle_gamma 90.00
_symmetry_space_group_name_H-M 'C 1 2/m 1'
_symmetry_Int_Tables_number 12
_symmetry_space_group_name_Hall '-C 2y'
loop_
_atom_site_label
_atom_site_type_symbol
_atom_site_fract_x
_atom_site_fract_y
_atom_site_fract_z
Na1 Na 0.000 0.000 0.000
Na2 Na 0.000 0.334 0.000
Y1 Y 0.000 0.500 0.500
Er1 Er 0.000 0.167 0.500
Se1 Se 0.240 0.000 0.728
Se2 Se 0.244 0.332 0.728

---

# HgBr2 (GGA-PBE, relaxed)
# Raw formation energy in eV/atom: -0.38
data_HgBr2
_chemical_formula_sum 'Hg2 Br4'
_cell_length_a 6.741
_cell_length_b 7.493
_cell_length_c 4.019
_cell_angle_alpha 90.00
_cell_angle_beta 90.00
_cell_angle_gamma 90.00
_symmetry_space_group_name_H-M 'P n n m'
_symmetry_Int_Tables_number 58
_symmetry_space_group_name_Hall '-P 2 2n'
loop_
_atom_site_label
_atom_site_type_symbol
_atom_site_fract_x
_atom_site_fract_y
_atom_site_fract_z
Hg1 Hg 0.000 0.000 0.000
Br1 Br 0.233 0.140 0.500

---

# Na3Li2WSe6 (GGA-PBE, relaxed)
# Raw formation energy in eV/atom: -0.71
data_Na3Li2WSe6
_chemical_formula_sum 'Na6 Li4 W2 Se12'
_cell_length_a 6.654
_cell_length_b 11.578
_cell_length_c 7.247
_cell_angle_alpha 90.00
_cell_angle_beta 107.95
_cell_angle_gamma 90.00
_symmetry_space_group_name_H-M 'C 1 2/m 1'
_symmetry_Int_Tables_number 12
_symmetry_space_group_name_Hall '-C 2y'
loop_
_atom_site_label
_atom_site_type_symbol
_atom_site_fract_x
_atom_site_fract_y
_atom_site_fract_z
Na1 Na 0.000 0.000 0.000
Na2 Na 0.000 0.329 0.000
Li1 Li 0.000 0.167 0.500
W1 W 0.000 0.500 0.500
Se1 Se 0.228 0.343 0.711
Se2 Se 0.243 0.500 0.290

---

# K2Cr2GeS6 (GGA-PBE, relaxed)
# Raw formation energy in eV/atom: -0.80
data_K2Cr2GeS6
_chemical_formula_sum 'K4 Cr4 Ge2 S12'
_cell_length_a 6.156
_cell_length_b 10.727
_cell_length_c 7.711
_cell_angle_alpha 90.00
_cell_angle_beta 105.71
_cell_angle_gamma 90.00
_symmetry_space_group_name_H-M 'C 1 2/m 1'
_symmetry_Int_Tables_number 12
_symmetry_space_group_name_Hall '-C 2y'
loop_
_atom_site_label
_atom_site_type_symbol
_atom_site_fract_x
_atom_site_fract_y
_atom_site_fract_z
K1 K 0.000 0.167 0.000
Cr1 Cr 0.000 0.332 0.500
Ge1 Ge 0.000 0.000 0.500
S1 S 0.224 0.500 0.674
S2 S 0.227 0.167 0.675

---

# KH6Cl8 (GGA-PBE, relaxed)
# E_tot in eV per atom: -2.9872
data_KH6Cl8
_chemical_formula_sum 'K3 H18 Cl24'
_cell_length_a 10.7283
_cell_length_b 10.7283
_cell_length_c 10.1029
_cell_angle_alpha 90.00
_cell_angle_beta 90.00
_cell_angle_gamma 120.00
_symmetry_space_group_name_H-M 'R -3'
_symmetry_Int_Tables_number 148
_symmetry_space_group_name_Hall '-R 3'
loop_
_atom_site_label
_atom_site_type_symbol
_atom_site_fract_x
_atom_site_fract_y
_atom_site_fract_z
K1 K 0.0000 0.0000 0.0000
H1 H 0.0197 0.1834 0.6456
Cl1 Cl 0.0000 0.0000 0.3072
Cl2 Cl 0.0216 0.3809 0.2892

---

# Tb4Sm4Th3 (GGA-PBE, relaxed)
# ΔE_f in eV per formula unit: 0.76
data_Tb4Sm4Th3
_chemical_formula_sum 'Tb8 Sm8 Th6'
_cell_length_a 35.076
_cell_length_b 5.779
_cell_length_c 3.576
_cell_angle_alpha 90.00
_cell_angle_beta 90.04
_cell_angle_gamma 90.00
_symmetry_space_group_name_H-M 'C 1 2/m 1'
_symmetry_Int_Tables_number 12
_symmetry_space_group_name_Hall '-C 2y'
loop_
_atom_site_label
_atom_site_type_symbol
_atom_site_fract_x
_atom_site_fract_y
_atom_site_fract_z
Tb1 Tb 0.046 0.000 0.001
Tb2 Tb 0.189 0.500 0.500
Sm1 Sm 0.097 0.500 0.001
Sm2 Sm 0.220 0.000 0.001
Th1 Th 0.000 0.500 0.500
Th2 Th 0.132 0.000 0.501

---

# Sr2YAg (GGA-PBE, relaxed)
# ΔE_f in eV per formula unit: 0.86
data_Sr2YAg
_chemical_formula_sum 'Sr8 Y4 Ag4'
_cell_length_a 8.189
_cell_length_b 8.189
_cell_length_c 8.189
_cell_angle_alpha 90.00
_cell_angle_beta 90.00
_cell_angle_gamma 90.00
_symmetry_space_group_name_H-M 'F -4 3 m'
_symmetry_Int_Tables_number 216
_symmetry_space_group_name_Hall 'F -4 2 3'
loop_
_atom_site_label
_atom_site_type_symbol
_atom_site_fract_x
_atom_site_fract_y
_atom_site_fract_z
Sr1 Sr 0.000 0.000 0.000
Sr2 Sr 0.250 0.250 0.250
Y1 Y 0.250 0.250 0.750
Ag1 Ag 0.000 0.000 0.500